This record from Alexandria via LeMat-Bulk describes GaCu2Tc after structural relaxation. The functional is PBE.

Output
Space group: I-42d
Uncorrected energy (eV per atom): -5.063
N(E_F) (states/eV/atom): 0.289

Geometry as POSCAR:
```
GaCu2Tc
1.0
-1.710 0.790 -3.002
-1.400 -3.255 -0.059
-8.784 1.788 3.383
Tc Ga Cu
2 2 4
Cartesian
0.000 0.000 0.000 Tc
-6.025 0.673 -0.574 Tc
-5.870 -1.350 0.897 Ga
-1.555 -1.233 -1.530 Ga
-3.441 0.534 -1.039 Cu
-7.754 0.418 1.390 Cu
-9.310 -0.818 -0.140 Cu
-3.284 -1.489 0.436 Cu
```

***

This record from Alexandria via LeMat-Bulk describes Ga8Cu2Tc after structural relaxation. The functional is PBE.

Output
Space group: C2/m
Uncorrected energy (eV per atom): -3.825
N(E_F) (states/eV/atom): 0.417

Geometry as POSCAR:
```
Ga8Cu2Tc
1.0
4.942 0.313 0.260
0.505 6.533 0.382
0.505 1.570 6.353
Ga Cu Tc
8 2 1
Cartesian
1.378 6.201 5.154 Ga
2.154 3.056 2.540 Ga
4.573 2.215 1.841 Ga
1.671 3.535 5.214 Ga
1.671 5.773 2.522 Ga
4.280 4.881 1.780 Ga
4.280 2.643 4.473 Ga
3.798 5.360 4.455 Ga
3.541 7.311 6.077 Cu
2.411 1.104 0.918 Cu
0.000 0.000 0.000 Tc
```

***

This record from Alexandria via LeMat-Bulk describes VGaCuTc after structural relaxation. The functional is PBE.

Output
Space group: F-43m
Uncorrected energy (eV per atom): -6.714
N(E_F) (states/eV/atom): 0.879

Geometry as POSCAR:
```
VGaCuTc
1.0
4.261 0.000 0.000
2.131 3.690 0.000
2.131 1.230 3.479
Ga V Tc Cu
1 1 1 1
Cartesian
4.261 2.460 1.740 Ga
0.000 0.000 0.000 V
6.392 3.690 2.609 Tc
2.131 1.230 0.870 Cu
```

***

This record from Alexandria via LeMat-Bulk describes ZnGaCuTc after structural relaxation. The functional is PBE.

Output
Excess energy over the best structure of this formula in the dataset (kcal/mol of atoms): 3.28
Space group: F-43m
Uncorrected energy (eV per atom): -4.653
N(E_F) (states/eV/atom): 0.455

Geometry as POSCAR:
```
ZnGaCuTc
1.0
4.275 0.000 0.000
2.138 3.702 0.000
2.138 1.234 3.491
Zn Tc Ga Cu
1 1 1 1
Cartesian
0.000 0.000 0.000 Zn
6.413 3.702 2.618 Tc
4.275 2.468 1.745 Ga
2.138 1.234 0.873 Cu
```